VASP calculation (PBE) on crystalline CrPbAu2 at its relaxed geometry.

Cell: 5.294 5.294 5.294 Å, 132.12 132.12 70.04°
Last column: magnetic moment on the atom in μB.
Element x y z (fractional)
Au 0.250 0.750 0.500  0.03
Au 0.000 0.000 0.000  0.04
Cr 0.500 0.500 0.000  3.76
Pb 0.750 0.250 0.500  -0.01

Computed properties:
Total DFT energy (no corrections) ... -0.176 hartree per atom
ΔE_f ... 194 meV per atom


VASP calculation (PBE) on crystalline Nd3Dy8Th3 at its relaxed geometry.

Cell: 5.673 9.691 9.691 Å, 102.38 72.99 72.99°
Element x y z (fractional)
Dy 0.839 0.557 0.764
Dy 0.342 0.883 0.433
Dy 0.658 0.117 0.567
Dy 0.342 0.433 0.883
Dy 0.839 0.764 0.557
Dy 0.161 0.236 0.443
Dy 0.658 0.567 0.117
Dy 0.161 0.443 0.236
Th 0.000 0.186 0.814
Th 0.500 0.000 0.000
Th 0.000 0.814 0.186
Nd 0.190 0.810 0.810
Nd 0.810 0.190 0.190
Nd 0.500 0.500 0.500

Computed properties:
Total DFT energy (no corrections) ... -0.187 hartree per atom
ΔE_f ... 161 meV per atom


VASP calculation (PBE) on crystalline BaAcBi2 at its relaxed geometry.

Cell: 7.031 7.031 14.102 Å, 90.01 90.00 90.00°
Element x y z (fractional)
Bi 0.251 0.500 0.384
Bi 0.751 0.000 0.366
Bi 0.249 0.500 0.866
Bi 0.749 0.500 0.616
Bi 0.749 0.000 0.884
Bi 0.751 0.500 0.134
Bi 0.249 0.000 0.634
Bi 0.251 0.000 0.116
Ac 0.751 0.500 0.375
Ac 0.249 0.500 0.625
Ac 0.751 0.000 0.125
Ac 0.249 0.000 0.875
Ba 0.749 0.500 0.875
Ba 0.749 0.000 0.625
Ba 0.251 0.500 0.125
Ba 0.251 0.000 0.375

Computed properties:
Total DFT energy (no corrections) ... -0.157 hartree per atom
ΔE_f ... -825 meV per atom
Distance to the lowest polymorph of the same formula ... 13 meV per atom


VASP calculation (PBE) on crystalline Hg2IrBr at its relaxed geometry.

Cell: 7.374 7.374 7.374 Å, 156.31 142.35 44.97°
Element x y z (fractional)
Hg 0.993 0.993 0.000
Hg 0.331 0.831 0.500
Ir 0.508 0.508 0.000
Br 0.668 0.168 0.500

Computed properties:
Total DFT energy (no corrections) ... -0.090 hartree per atom
Distance to the lowest polymorph of the same formula ... 35 meV per atom


VASP calculation (PBE) on crystalline TaTe2Se at its relaxed geometry.

Cell: 6.298 5.208 3.705 Å, 78.06 75.76 121.14°
Element x y z (fractional)
Te 0.500 0.000 0.500
Te 0.000 0.000 0.000
Se 0.000 0.500 0.500
Ta 0.500 0.500 0.000

Computed properties:
Total DFT energy (no corrections) ... -0.182 hartree per atom


VASP calculation (PBE) on crystalline B3ClO at its relaxed geometry.

Cell: 3.953 3.953 3.953 Å, 90.00 90.00 90.00°
Element x y z (fractional)
B 0.000 0.000 0.500
B 0.500 0.000 0.000
B 0.000 0.500 0.000
O 0.000 0.000 0.000
Cl 0.500 0.500 0.500

Computed properties:
Total DFT energy (no corrections) ... -0.119 hartree per atom
Distance to the lowest polymorph of the same formula ... 0 meV per atom